# Mg2SiP (GGA-PBE, optimized geometry)
data_Mg2SiP
_chemical_formula_sum 'Mg2 Si1 P1'
_symmetry_space_group_name_H-M 'P 4 m m'
_symmetry_Int_Tables_number 99
_symmetry_space_group_name_Hall 'P 4 -2'
_cell_length_a 3.2499
_cell_length_b 3.2499
_cell_length_c 6.9733
_cell_angle_alpha 90.00
_cell_angle_beta 90.00
_cell_angle_gamma 90.00
loop_
_atom_site_label
_atom_site_type_symbol
_atom_site_fract_x
_atom_site_fract_y
_atom_site_fract_z
Mg1 Mg 0.0000 0.0000 0.0000
Mg2 Mg 0.5000 0.5000 0.3244
Si1 Si 0.5000 0.5000 0.7288
P1 P 0.0000 0.0000 0.5955
# - Uncorrected formation energy: 0.11 eV/f.u.
# - M_tot: 0.00 μB/f.u.
# - Theoretical density: 2.4 g/cm³
# - Density of states at the Fermi level: 0.3673 states/eV per atom
# - VASP energy: -13.913 eV for the cell shown


# LaNi3Pd (GGA-PBE, optimized geometry)
data_LaNi3Pd
_chemical_formula_sum 'La1 Ni3 Pd1'
_symmetry_space_group_name_H-M 'P m -3 m'
_symmetry_Int_Tables_number 221
_symmetry_space_group_name_Hall '-P 4 2 3'
_cell_length_a 4.6366
_cell_length_b 4.6366
_cell_length_c 4.6366
_cell_angle_alpha 90.00
_cell_angle_beta 90.00
_cell_angle_gamma 90.00
loop_
_atom_site_label
_atom_site_type_symbol
_atom_site_fract_x
_atom_site_fract_y
_atom_site_fract_z
La1 La 0.0000 0.0000 0.0000
Ni1 Ni 0.0000 0.0000 0.5000
Pd1 Pd 0.5000 0.5000 0.5000
# - M_tot: 0.00 μB/f.u.
# - Theoretical density: 7.0 g/cm³
# - Density of states at the Fermi level: 0.7286 states/eV per atom
# - ΔE_f: 1.228 eV/atom
# - VASP energy: -21.326 eV for the cell shown


# NiTeAsN2 (GGA-PBE, optimized geometry)
data_NiTeAsN2
_chemical_formula_sum 'Ni1 Te1 As1 N2'
_symmetry_space_group_name_H-M 'P 4/m m m'
_symmetry_Int_Tables_number 123
_symmetry_space_group_name_Hall '-P 4 2'
_cell_length_a 3.6424
_cell_length_b 3.6424
_cell_length_c 6.8970
_cell_angle_alpha 90.00
_cell_angle_beta 90.00
_cell_angle_gamma 90.00
loop_
_atom_site_label
_atom_site_type_symbol
_atom_site_fract_x
_atom_site_fract_y
_atom_site_fract_z
Ni1 Ni 0.0000 0.0000 0.0000
Te1 Te 0.5000 0.5000 0.0000
As1 As 0.5000 0.5000 0.5000
N1 N 0.0000 0.5000 0.5000
# - Uncorrected formation energy: 6.66 eV/f.u.
# - M_tot: 0.01 μB/f.u.
# - Theoretical density: 5.2 g/cm³
# - Density of states at the Fermi level: 1.1653 states/eV per atom
# - VASP energy: -23.562 eV for the cell shown


# ScAlOs (GGA-PBE, optimized geometry)
data_ScAlOs
_chemical_formula_sum 'Sc4 Al4 Os4'
_symmetry_space_group_name_H-M 'I m m a'
_symmetry_Int_Tables_number 74
_symmetry_space_group_name_Hall '-I 2b 2'
_cell_length_a 5.2599
_cell_length_b 5.3016
_cell_length_c 7.2306
_cell_angle_alpha 90.00
_cell_angle_beta 90.00
_cell_angle_gamma 90.00
loop_
_atom_site_label
_atom_site_type_symbol
_atom_site_fract_x
_atom_site_fract_y
_atom_site_fract_z
Sc1 Sc 0.0000 0.2500 0.1333
Al1 Al 0.2500 0.2500 0.7500
Os1 Os 0.0000 0.0000 0.5000
# - M_tot: 0.00 μB/f.u.
# - Theoretical density: 8.6 g/cm³
# - Density of states at the Fermi level: 0.8496 states/eV per atom
# - ΔE_f: -0.549 eV/atom
# - VASP energy: -91.801 eV for the cell shown


# DyHo2Er (GGA-PBE, optimized geometry)
data_DyHo2Er
_chemical_formula_sum 'Dy3 Ho6 Er3'
_symmetry_space_group_name_H-M 'R 3 m'
_symmetry_Int_Tables_number 160
_symmetry_space_group_name_Hall 'R 3 -2"'
_cell_length_a 3.5442
_cell_length_b 3.5442
_cell_length_c 34.0018
_cell_angle_alpha 90.00
_cell_angle_beta 90.00
_cell_angle_gamma 120.00
loop_
_atom_site_label
_atom_site_type_symbol
_atom_site_fract_x
_atom_site_fract_y
_atom_site_fract_z
Dy1 Dy 0.0000 0.0000 0.0000
Ho1 Ho 0.0000 0.0000 0.4175
Ho2 Ho 0.0000 0.0000 0.5828
Er1 Er 0.0000 0.0000 0.8339
# - M_tot: 0.00 μB/f.u.
# - Theoretical density: 8.9 g/cm³
# - Density of states at the Fermi level: 1.5086 states/eV per atom
# - ΔE_f: 0.007 eV/atom
# - VASP energy: -54.873 eV for the cell shown


# In4NiW2 (GGA-PBE, optimized geometry)
data_In4NiW2
_chemical_formula_sum 'In8 Ni2 W4'
_symmetry_space_group_name_H-M 'I 4/m m m'
_symmetry_Int_Tables_number 139
_symmetry_space_group_name_Hall '-I 4 2'
_cell_length_a 5.0530
_cell_length_b 5.0530
_cell_length_c 13.3615
_cell_angle_alpha 90.00
_cell_angle_beta 90.00
_cell_angle_gamma 90.00
loop_
_atom_site_label
_atom_site_type_symbol
_atom_site_fract_x
_atom_site_fract_y
_atom_site_fract_z
In1 In 0.0000 0.0000 0.1919
In2 In 0.0000 0.5000 0.0000
Ni1 Ni 0.0000 0.0000 0.0000
W1 W 0.0000 0.0000 0.4091
# - M_tot: 0.86 μB/f.u.
# - Theoretical density: 8.6 g/cm³
# - Density of states at the Fermi level: 0.7979 states/eV per atom
# - ΔE_f: 0.928 eV/atom
# - VASP energy: -72.287 eV for the cell shown


# Mg3TiH (GGA-PBE, optimized geometry)
data_Mg3TiH
_chemical_formula_sum 'Mg3 Ti1 H1'
_symmetry_space_group_name_H-M 'P m -3 m'
_symmetry_Int_Tables_number 221
_symmetry_space_group_name_Hall '-P 4 2 3'
_cell_length_a 5.6238
_cell_length_b 5.6238
_cell_length_c 5.6238
_cell_angle_alpha 90.00
_cell_angle_beta 90.00
_cell_angle_gamma 90.00
loop_
_atom_site_label
_atom_site_type_symbol
_atom_site_fract_x
_atom_site_fract_y
_atom_site_fract_z
Mg1 Mg 0.0000 0.0000 0.5000
Ti1 Ti 0.0000 0.0000 0.0000
H1 H 0.5000 0.5000 0.5000
# - M_tot: 3.65 μB/f.u.
# - Theoretical density: 1.1 g/cm³
# - Density of states at the Fermi level: 2.0542 states/eV per atom
# - VASP energy: -9.026 eV for the cell shown


# Tb6NdSm3Th2 (GGA-PBE, optimized geometry)
data_Tb6NdSm3Th2
_chemical_formula_sum 'Tb12 Nd2 Sm6 Th4'
_symmetry_space_group_name_H-M 'C 1 2/m 1'
_symmetry_Int_Tables_number 12
_symmetry_space_group_name_Hall '-C 2y'
_cell_length_a 6.2391
_cell_length_b 10.7969
_cell_length_c 11.8274
_cell_angle_alpha 90.00
_cell_angle_beta 100.14
_cell_angle_gamma 90.00
loop_
_atom_site_label
_atom_site_type_symbol
_atom_site_fract_x
_atom_site_fract_y
_atom_site_fract_z
Tb1 Tb 0.2443 0.0000 0.2468
Tb2 Tb 0.2482 0.1691 0.7534
Nd1 Nd 0.0000 0.5000 0.0000
Sm1 Sm 0.0000 0.0000 0.5000
Sm2 Sm 0.0000 0.3337 0.5000
Th1 Th 0.0000 0.1667 0.0000
# - M_tot: 0.00 μB/f.u.
# - Theoretical density: 8.5 g/cm³
# - Density of states at the Fermi level: 1.3478 states/eV per atom
# - ΔE_f: 0.026 eV/atom
# - VASP energy: -122.459 eV for the cell shown


# RbSrCa2Hg (GGA-PBE, optimized geometry)
data_RbSrCa2Hg
_chemical_formula_sum 'Rb1 Sr1 Ca2 Hg1'
_symmetry_space_group_name_H-M 'P 4/m m m'
_symmetry_Int_Tables_number 123
_symmetry_space_group_name_Hall '-P 4 2'
_cell_length_a 6.1775
_cell_length_b 6.1775
_cell_length_c 6.3761
_cell_angle_alpha 90.00
_cell_angle_beta 90.00
_cell_angle_gamma 90.00
loop_
_atom_site_label
_atom_site_type_symbol
_atom_site_fract_x
_atom_site_fract_y
_atom_site_fract_z
Rb1 Rb 0.0000 0.0000 0.0000
Sr1 Sr 0.5000 0.5000 0.0000
Ca1 Ca 0.0000 0.5000 0.5000
Hg1 Hg 0.5000 0.5000 0.5000
# - M_tot: 0.00 μB/f.u.
# - Theoretical density: 3.1 g/cm³
# - Density of states at the Fermi level: 1.2452 states/eV per atom
# - ΔE_f: -0.098 eV/atom
# - VASP energy: -7.443 eV for the cell shown


# Ac2O2F (GGA-PBE, optimized geometry)
data_Ac2O2F
_chemical_formula_sum 'Ac2 O2 F1'
_symmetry_space_group_name_H-M 'P -3 m 1'
_symmetry_Int_Tables_number 164
_symmetry_space_group_name_Hall '-P 3 2"'
_cell_length_a 4.3421
_cell_length_b 4.3421
_cell_length_c 5.6351
_cell_angle_alpha 90.00
_cell_angle_beta 90.00
_cell_angle_gamma 120.00
loop_
_atom_site_label
_atom_site_type_symbol
_atom_site_fract_x
_atom_site_fract_y
_atom_site_fract_z
Ac1 Ac 0.3333 0.6667 0.2482
O1 O 0.3333 0.6667 0.7305
F1 F 0.0000 0.0000 0.0000
# - Uncorrected formation energy: -16.10 eV/f.u.
# - M_tot: 0.00 μB/f.u.
# - Theoretical density: 9.1 g/cm³
# - Density of states at the Fermi level: 0.2939 states/eV per atom
# - VASP energy: -36.106 eV for the cell shown


# Sb2PH (GGA-PBE, optimized geometry)
data_Sb2PH
_chemical_formula_sum 'Sb8 P4 H4'
_symmetry_space_group_name_H-M 'F m -3 m'
_symmetry_Int_Tables_number 225
_symmetry_space_group_name_Hall '-F 4 2 3'
_cell_length_a 6.6858
_cell_length_b 6.6858
_cell_length_c 6.6858
_cell_angle_alpha 90.00
_cell_angle_beta 90.00
_cell_angle_gamma 90.00
loop_
_atom_site_label
_atom_site_type_symbol
_atom_site_fract_x
_atom_site_fract_y
_atom_site_fract_z
Sb1 Sb 0.2500 0.2500 0.2500
P1 P 0.0000 0.0000 0.0000
H1 H 0.0000 0.0000 0.5000
# - M_tot: 0.00 μB/f.u.
# - Theoretical density: 6.1 g/cm³
# - Density of states at the Fermi level: 0.5610 states/eV per atom
# - VASP energy: -58.391 eV for the cell shown